No. 1
First-principles (PBE) data for a relaxed Tc2RuAu crystal, as listed in Alexandria via LeMat-Bulk.

Values from the calculation:
polymorph energy (0 for the lowest one): 41 meV per atom
SG: R-3m, No. 166
V: 183.2 Å³ per cell
formation enthalpy at 0 K: 0.2285 eV per atom
M_tot: 0.00 μB/cell

The structure in POSCAR format:
```
Tc2RuAu
1.0
2.7787 0.0000 0.0000
-1.3894 2.4064 0.0000
0.0000 0.0000 27.3939
Tc Ru Au
6 3 3
direct
0.0000 0.0000 0.2443
0.0000 0.0000 0.7557
0.3333 0.6667 0.4224
0.3333 0.6667 0.9109
0.6667 0.3333 0.0891
0.6667 0.3333 0.5776
0.0000 0.0000 0.5000
0.3333 0.6667 0.1667
0.6667 0.3333 0.8333
0.0000 0.0000 0.0000
0.3333 0.6667 0.6667
0.6667 0.3333 0.3333
```



No. 2
First-principles (PBE) data for a relaxed TcRuAu2 crystal, as listed in Alexandria via LeMat-Bulk.

Values from the calculation:
polymorph energy (0 for the lowest one): 363 meV per atom
SG: Cmmm, No. 65
V: 127.8 Å³ per cell
formation enthalpy at 0 K: 0.4842 eV per atom
M_tot: 0.00 μB/cell

The structure in POSCAR format:
```
TcRuAu2
1.0
5.4051 0.0000 0.0000
0.0000 8.4646 0.0000
0.0000 0.0000 2.7941
Tc Ru Au
2 2 4
direct
0.0000 0.0000 0.0000
0.5000 0.5000 0.0000
0.0000 0.5000 0.0000
0.5000 0.0000 0.0000
0.2500 0.2500 0.5000
0.2500 0.7500 0.5000
0.7500 0.2500 0.5000
0.7500 0.7500 0.5000
```



No. 3
First-principles (PBE) data for a relaxed TcRuAu crystal, as listed in Alexandria via LeMat-Bulk.

Values from the calculation:
polymorph energy (0 for the lowest one): 74 meV per atom
SG: Imm2, No. 44
V: 92.1 Å³ per cell
formation enthalpy at 0 K: 0.2252 eV per atom
M_tot: 0.00 μB/cell

The structure in POSCAR format:
```
TcRuAu
1.0
2.8288 0.0000 0.0000
0.0000 3.8096 0.0000
0.0000 0.0000 8.5483
Tc Ru Au
2 2 2
direct
0.0000 0.0000 0.0000
0.5000 0.5000 0.5000
0.0000 0.0000 0.3578
0.5000 0.5000 0.8578
0.0000 0.0000 0.6787
0.5000 0.5000 0.1787
```



No. 4
First-principles (PBE) data for a relaxed Tc2RuAu crystal, as listed in Alexandria via LeMat-Bulk.

Values from the calculation:
polymorph energy (0 for the lowest one): 0 meV per atom
SG: Pmmm, No. 47
V: 60.8 Å³ per cell
formation enthalpy at 0 K: 0.1871 eV per atom
M_tot: 0.00 μB/cell

The structure in POSCAR format:
```
Tc2RuAu
1.0
2.7645 0.0000 0.0000
0.0000 3.9744 0.0000
0.0000 0.0000 5.5327
Tc Ru Au
2 1 1
direct
0.0000 0.0000 0.2225
0.0000 0.0000 0.7775
0.5000 0.5000 0.0000
0.5000 0.5000 0.5000
```



Please write out number 4 again, unchanged.
First-principles (PBE) data for a relaxed Tc2RuAu crystal, as listed in Alexandria via LeMat-Bulk.

Values from the calculation:
polymorph energy (0 for the lowest one): 0 meV per atom
SG: Pmmm, No. 47
V: 60.8 Å³ per cell
formation enthalpy at 0 K: 0.1871 eV per atom
M_tot: 0.00 μB/cell

The structure in POSCAR format:
```
Tc2RuAu
1.0
2.7645 0.0000 0.0000
0.0000 3.9744 0.0000
0.0000 0.0000 5.5327
Tc Ru Au
2 1 1
direct
0.0000 0.0000 0.2225
0.0000 0.0000 0.7775
0.5000 0.5000 0.0000
0.5000 0.5000 0.5000
```



Question: Which of these has the highest polymorph energy (0 for the lowest one)?
Answer: TcRuAu2



Question: What is the formation enthalpy at 0 K in the first record?
Answer: 0.2285 eV per atom



Question: Look up the M_tot of the first one.
Answer: 0.00 μB/cell